Record 1
# Pm4Mg3Ga4

A relaxed structure of Pm4Mg3Ga4 (PBE-GGA, Alexandria via LeMat-Bulk).

The space group is Immm (No. 71) and the conventional cell measures 4.220, 9.610 and 14.255 Å, with angles of 90.00, 90.00 and 90.00 degrees. Symmetry generates all atoms from Pm at (0.000, 0.176, 0.160), Mg at (0.000, 0.000, 0.385), Mg at (0.000, 0.500, 0.500), Ga at (0.000, 0.368, 0.000) and Ga at (0.000, 0.500, 0.238).

For the total moment, the calculation gives 0.00 μB per cell. Its formation energy is -4.934 kcal/mol of atoms.

---

Record 2
# CaY2PaBi4

A relaxed structure of CaY2PaBi4 (PBE-GGA, Alexandria via LeMat-Bulk).

The space group is P2/m (No. 10) and the conventional cell measures 7.798, 4.501 and 7.812 Å, with angles of 90.00, 108.98 and 90.00 degrees. Symmetry generates all atoms from Ca at (0.000, 0.000, 0.000), Y at (0.500, 0.000, 0.500), Y at (0.500, 0.500, 0.000), Pa at (0.000, 0.500, 0.500), Bi at (0.251, 0.000, 0.748) and Bi at (0.251, 0.500, 0.256).

For the total moment, the calculation gives 0.75 μB per cell. Its formation energy is -15.520 kcal/mol of atoms.

---

Record 3
# Al2GaPd8

A relaxed structure of Al2GaPd8 (PBE-GGA, Alexandria via LeMat-Bulk).

The space group is Immm (No. 71) and the conventional cell measures 4.127, 7.034 and 11.567 Å, with angles of 90.00, 90.00 and 90.00 degrees. Symmetry generates all atoms from Al at (0.000, 0.000, 0.195), Ga at (0.000, 0.000, 0.500), Pd at (0.000, 0.188, 0.000), Pd at (0.000, 0.280, 0.341) and Pd at (0.000, 0.500, 0.141).

Its energy above the most stable polymorph in this dataset is 9 meV/atom. For the total moment, the calculation gives 0.00 μB per cell. Its formation energy is -13.856 kcal/mol of atoms.

---

Record 4
# Tm6Te5S

A relaxed structure of Tm6Te5S (PBE-GGA, Alexandria via LeMat-Bulk).

The space group is C2/m (No. 12) and the conventional cell measures 7.369, 12.750 and 7.288 Å, with angles of 90.00, 109.40 and 90.00 degrees. Symmetry generates all atoms from Tm at (0.209, 0.000, 0.267), Tm at (0.216, 0.146, 0.719), Te at (0.000, 0.179, 0.000), Te at (0.000, 0.337, 0.500), Te at (0.000, 0.500, 0.000) and S at (0.000, 0.000, 0.500).

For the total moment, the calculation gives 0.00 μB per cell. The calculation puts the formation energy (no corrections) at -1.32 eV per atom.